The following is a GGA-PBE calculation of a relaxed structure of Li2CdMo, from the Alexandria database.

Cell lengths 4.055, 4.055, 4.071 Å; angles 90.00, 90.00, 90.00 degrees
Atoms (fractional coordinates):
Li1 0.000 0.500 0.000
Li2 0.500 0.000 0.000
Cd1 0.000 0.000 0.500
Mo1 0.500 0.500 0.500

Computed properties:
- M_tot: 0.41 μB per atom
- Crystal system: tetragonal
- Fermi-level density of states: 2.62 states/eV/f.u.


The following is a GGA-PBE calculation of a relaxed structure of LiCdMo3, from the Alexandria database.

Cell lengths 4.304, 4.304, 4.304 Å; angles 90.00, 90.00, 90.00 degrees
Atoms (fractional coordinates):
Li1 0.000 0.000 0.000
Cd1 0.500 0.500 0.500
Mo1 0.000 0.000 0.500
Mo2 0.000 0.500 0.000
Mo3 0.500 0.000 0.000

Computed properties:
- M_tot: 0.00 μB per atom
- Energy relative to the lowest polymorph listed for this composition: 0 meV/atom
- Crystal system: cubic
- Fermi-level density of states: 6.47 states/eV/f.u.


The following is a GGA-PBE calculation of a relaxed structure of LiCd2Mo, from the Alexandria database.

Cell lengths 2.787, 2.787, 9.561 Å; angles 90.00, 90.00, 101.56 degrees
Atoms (fractional coordinates):
Li1 0.000 0.000 0.000
Cd1 0.000 0.000 0.479
Cd2 0.500 0.500 0.762
Mo1 0.500 0.500 0.234

Computed properties:
- M_tot: 0.00 μB per atom
- Energy relative to the lowest polymorph listed for this composition: 114 meV/atom
- Crystal system: orthorhombic
- Fermi-level density of states: 2.64 states/eV/f.u.


The following is a GGA-PBE calculation of a relaxed structure of LiCd2Mo, from the Alexandria database.

Cell lengths 5.680, 5.680, 5.680 Å; angles 150.89, 127.88, 60.81 degrees
Atoms (fractional coordinates):
Li1 0.000 0.000 0.000
Cd1 0.230 0.730 0.500
Cd2 0.770 0.270 0.500
Mo1 0.500 0.500 0.000

Computed properties:
- M_tot: 0.00 μB per atom
- Energy relative to the lowest polymorph listed for this composition: 311 meV/atom
- Crystal system: orthorhombic
- Fermi-level density of states: 2.78 states/eV/f.u.


Number 1: formation energy from the elements 0.50 eV per atom. Number 2: formation energy from the elements 1.27 eV per atom. Number 3: formation energy from the elements 0.26 eV per atom. Number 4: formation energy from the elements 0.46 eV per atom.